KSm2PuO8 | GGA-PBE | relaxed

Cell and atoms, written as extended XYZ:
```
12
Lattice="6.005 -0.157 -0.066 -0.128 4.078 0.638 -0.044 1.026 7.303" Properties=species:S:1:pos:R:3 pbc="T T T"
K -0.022 0.513 3.652
O 2.804 3.780 4.152
Sm 2.770 2.759 1.921
O 1.990 0.875 0.687
Pu 0.000 0.000 0.000
O 4.747 0.535 1.202
O 3.842 4.072 7.188
O 1.086 4.411 6.673
Sm 3.063 2.188 5.953
O 0.384 2.810 2.026
O 3.028 1.167 3.722
O 5.449 2.137 5.849
```

Properties
Raw total energy, eV/atom: -7.862
Spin magnetization, μB per atom: 0.083
SG: P-1 (2)
Formation energy (no corrections), eV per atom: -2.485

=====

TeAs | GGA-PBE | relaxed

Cell and atoms, written as extended XYZ:
```
2
Lattice="4.192 0.000 0.000 0.000 4.192 0.000 0.000 0.000 3.030" Properties=species:S:1:pos:R:3 pbc="T T T"
As 0.000 0.000 1.515
Te 2.096 2.096 1.515
```

Properties
Raw total energy, eV/atom: -3.754
Spin magnetization, μB per atom: 0.000
SG: P4/mmm (123)
Formation energy (no corrections), eV per atom: 0.141

=====

U2Br4F5 | GGA-PBE | relaxed

Cell and atoms, written as extended XYZ:
```
11
Lattice="-3.303 -1.150 2.873 4.350 -1.699 4.321 0.397 9.463 4.245" Properties=species:S:1:pos:R:3 pbc="T T T"
Br -0.495 5.167 5.066
F 1.642 2.719 2.977
Br -0.517 0.306 3.093
Br 1.939 1.447 6.373
F 1.012 7.890 4.322
Br 1.961 6.308 8.346
F 0.198 4.732 2.122
U 0.353 2.532 1.420
F 3.736 -0.126 4.244
U 4.394 5.233 7.146
F 3.105 5.045 5.589
```

Properties
Raw total energy, eV/atom: -5.972
Spin magnetization, μB per atom: 0.273
SG: P2/m (10)
Formation energy (no corrections), eV per atom: -2.461

=====

The lowest spin magnetization belongs to which entry? TeAs

=====

Among the records above, which one has the lowest raw total energy? KSm2PuO8

=====

What is the formula in the first record? KSm2PuO8